A | Density functional theory data (PBE) for a relaxed structure of Sm6Ho12Th.

Lattice parameters (Å, degrees): 8.5392 8.5392 8.5392 88.94 88.94 88.94
Sites, in units of the cell vectors:
Sm 0.7448 0.9123 0.3124
Sm 0.9123 0.3124 0.7448
Sm 0.6876 0.2552 0.0877
Sm 0.2552 0.0877 0.6876
Sm 0.0877 0.6876 0.2552
Sm 0.3124 0.7448 0.9123
Ho 0.9896 0.7883 0.6527
Ho 0.7733 0.5415 0.4404
Ho 0.2117 0.3473 0.0104
Ho 0.3473 0.0104 0.2117
Ho 0.6527 0.9896 0.7883
Ho 0.4585 0.5596 0.2267
Ho 0.2267 0.4585 0.5596
Ho 0.5415 0.4404 0.7733
Ho 0.0104 0.2117 0.3473
Ho 0.5596 0.2267 0.4585
Ho 0.4404 0.7733 0.5415
Ho 0.7883 0.6527 0.9896
Th 0.0000 0.0000 0.0000

---

B | Density functional theory data (PBE) for a relaxed structure of Sm6Ho12Th.

Lattice parameters (Å, degrees): 8.7053 8.7053 8.7053 99.42 99.42 99.42
Sites, in units of the cell vectors:
Ho 0.6511 0.9221 0.6511
Ho 0.5000 0.2437 0.7563
Ho 0.7563 0.2437 0.5000
Ho 0.5000 0.7563 0.2437
Ho 0.6511 0.6511 0.9221
Ho 0.2437 0.5000 0.7563
Ho 0.2437 0.7563 0.5000
Ho 0.7563 0.5000 0.2437
Ho 0.9221 0.6511 0.6511
Ho 0.3489 0.0779 0.3489
Ho 0.0779 0.3489 0.3489
Ho 0.3489 0.3489 0.0779
Sm 0.8988 0.3413 0.8988
Sm 0.3413 0.8988 0.8988
Sm 0.1012 0.6587 0.1012
Sm 0.8988 0.8988 0.3413
Sm 0.1012 0.1012 0.6587
Sm 0.6587 0.1012 0.1012
Th 0.0000 0.0000 0.0000

---

Which is most stable, and by how much? A, by 7.1 kJ/mol of atoms.

---

A | Density functional theory data (PBE) for a relaxed structure of Sm2Ho2Th.

Lattice parameters (Å, degrees): 3.5224 5.3818 8.9126 107.64 90.00 90.00
Sites, in units of the cell vectors:
Th 0.0000 0.0000 0.0000
Sm 0.0000 0.8018 0.6037
Sm 0.0000 0.1982 0.3963
Ho 0.5000 0.6037 0.2071
Ho 0.5000 0.3963 0.7929

---

B | Density functional theory data (PBE) for a relaxed structure of Sm2Ho2Th.

Lattice parameters (Å, degrees): 3.5879 3.5879 14.6312 82.96 82.96 60.00
Sites, in units of the cell vectors:
Ho 0.3979 0.3979 0.8064
Ho 0.6021 0.6021 0.1936
Th 0.0000 0.0000 0.0000
Sm 0.7996 0.7996 0.6013
Sm 0.2004 0.2004 0.3987

---

Which is most stable, and by how much? B, by 3.9 kJ/mol of atoms.

---

A | Density functional theory data (PBE) for a relaxed structure of Sm7Ho3Th.

Lattice parameters (Å, degrees): 10.0865 10.0865 8.2372 90.00 90.00 115.42
Sites, in units of the cell vectors:
Ho 0.2857 0.6103 0.7500
Ho 0.0000 0.0000 0.5000
Ho 0.0000 0.0000 0.0000
Ho 0.7143 0.3897 0.2500
Ho 0.6103 0.2857 0.7500
Ho 0.3897 0.7143 0.2500
Sm 0.8804 0.2150 0.7500
Sm 0.1100 0.3978 0.0590
Sm 0.7850 0.1196 0.2500
Sm 0.3978 0.1100 0.4410
Sm 0.7484 0.7484 0.2500
Sm 0.2150 0.8804 0.7500
Sm 0.1196 0.7850 0.2500
Sm 0.6022 0.8900 0.5590
Sm 0.3978 0.1100 0.0590
Sm 0.6022 0.8900 0.9410
Sm 0.8900 0.6022 0.5590
Sm 0.8900 0.6022 0.9410
Sm 0.1100 0.3978 0.4410
Sm 0.2516 0.2516 0.7500
Th 0.5000 0.5000 0.5000
Th 0.5000 0.5000 0.0000

---

B | Density functional theory data (PBE) for a relaxed structure of Sm7Ho3Th.

Lattice parameters (Å, degrees): 8.6652 7.1548 7.1548 120.00 90.00 90.00
Sites, in units of the cell vectors:
Sm 0.1173 0.1698 0.8302
Sm 0.1149 0.6667 0.3333
Sm 0.4527 0.8321 0.6643
Sm 0.4527 0.8321 0.1679
Sm 0.1173 0.6603 0.8302
Sm 0.4527 0.3357 0.1679
Sm 0.1173 0.1698 0.3397
Ho 0.7798 0.4978 0.5022
Ho 0.7798 0.4978 0.9956
Ho 0.7798 0.0044 0.5022
Th 0.4507 0.3333 0.6667

---

Which is most stable, and by how much? B, by 9.9 kJ/mol of atoms.

---

A | Density functional theory data (PBE) for a relaxed structure of Sm2HoTh4.

Lattice parameters (Å, degrees): 5.6728 5.6728 9.1418 108.08 108.08 90.00
Sites, in units of the cell vectors:
Th 0.1888 0.1888 0.3776
Th 0.5000 0.0000 0.0000
Th 0.0000 0.5000 0.0000
Th 0.8112 0.8112 0.6224
Sm 0.3833 0.3833 0.7665
Sm 0.6167 0.6167 0.2335
Ho 0.0000 0.0000 0.0000

---

B | Density functional theory data (PBE) for a relaxed structure of Sm2HoTh4.

Lattice parameters (Å, degrees): 3.5750 3.5746 18.1990 90.00 95.64 90.00
Sites, in units of the cell vectors:
Sm 0.7936 0.5000 0.5871
Sm 0.2064 0.5000 0.4129
Ho 0.5000 0.0000 0.0000
Th 0.9296 0.5000 0.8592
Th 0.0704 0.5000 0.1408
Th 0.6378 0.0000 0.2756
Th 0.3622 0.0000 0.7244

---

Which is most stable, and by how much? B, by 84.3 kJ/mol of atoms.

---

A | Density functional theory data (PBE) for a relaxed structure of Sm3Ho4Th.

Lattice parameters (Å, degrees): 3.5900 8.0208 10.6192 98.62 70.29 116.56
Sites, in units of the cell vectors:
Sm 0.0000 0.5000 0.0000
Sm 0.0000 0.0000 0.5000
Sm 0.5000 0.5000 0.5000
Ho 0.5078 0.7532 0.2456
Ho 0.9986 0.7532 0.7546
Ho 0.4922 0.2468 0.7544
Ho 0.0014 0.2468 0.2454
Th 0.5000 0.0000 0.0000

---

B | Density functional theory data (PBE) for a relaxed structure of Sm3Ho4Th.

Lattice parameters (Å, degrees): 6.2660 7.2347 11.4968 90.00 90.00 90.00
Sites, in units of the cell vectors:
Sm 0.9755 0.6231 0.2487
Sm 0.4755 0.3769 0.7487
Sm 0.6455 0.6221 0.0000
Sm 0.1455 0.3779 0.5000
Sm 0.9755 0.6231 0.7513
Sm 0.4755 0.3769 0.2513
Ho 0.1483 0.8723 0.5000
Ho 0.1470 0.8763 0.0000
Ho 0.4866 0.8749 0.2517
Ho 0.6470 0.1237 0.5000
Ho 0.9866 0.1251 0.7517
Ho 0.9866 0.1251 0.2483
Ho 0.6483 0.1277 0.0000
Ho 0.4866 0.8749 0.7483
Th 0.1503 0.3738 0.0000
Th 0.6503 0.6262 0.5000

---

Which is most stable, and by how much? A, by 2.0 kJ/mol of atoms.

---

A | Density functional theory data (PBE) for a relaxed structure of Sm7Ho4Th.

Lattice parameters (Å, degrees): 6.0079 11.5879 6.7554 83.45 63.60 74.98
Sites, in units of the cell vectors:
Sm 0.0594 0.6757 0.2054
Sm 0.5000 0.0000 0.0000
Sm 0.9406 0.3243 0.7946
Sm 0.3696 0.5020 0.7588
Sm 0.7876 0.9210 0.5037
Sm 0.6304 0.4980 0.2412
Sm 0.2124 0.0790 0.4963
Ho 0.7509 0.6822 0.8159
Ho 0.6380 0.2236 0.5004
Ho 0.2491 0.3178 0.1841
Ho 0.3620 0.7764 0.4996
Th 0.0000 0.0000 0.0000

---

B | Density functional theory data (PBE) for a relaxed structure of Sm7Ho4Th.

Lattice parameters (Å, degrees): 7.2371 6.2651 11.5011 79.44 50.92 90.02
Sites, in units of the cell vectors:
Sm 0.2481 0.5004 0.9989
Sm 0.5000 0.0000 0.0000
Sm 0.9167 0.7234 0.3325
Sm 0.6700 0.2195 0.3299
Sm 0.0833 0.2766 0.6675
Sm 0.7519 0.4996 0.0011
Sm 0.3300 0.7805 0.6701
Ho 0.8370 0.7799 0.6630
Ho 0.5817 0.2749 0.6689
Ho 0.4183 0.7251 0.3311
Ho 0.1630 0.2201 0.3370
Th 0.0000 0.0000 0.0000

---

Which is most stable, and by how much? B, by 26.8 kJ/mol of atoms.